# Sm2TeBr, relaxed, DFT PBE
# - Electronic total energy: -4.7412 eV/atom
# - Formation energy from raw total energies: -1178 meV/atom
# - D(E_F): 0.769 states/eV per atom
# - Polymorph energy (0 for the lowest one): 0.008 eV per atom
data_Sm2TeBr
_chemical_formula_sum 'Sm8 Te4 Br4'
_cell_length_a 7.5187
_cell_length_b 7.5187
_cell_length_c 7.5187
_cell_angle_alpha 90.00
_cell_angle_beta 90.00
_cell_angle_gamma 90.00
_space_group_name_H-M_alt 'F m -3 m'
_space_group_IT_number 225
_space_group_name_Hall '-F 4 2 3'
loop_
_atom_site_label
_atom_site_type_symbol
_atom_site_fract_x
_atom_site_fract_y
_atom_site_fract_z
Sm1 Sm 0.2500 0.2500 0.2500
Te1 Te 0.0000 0.0000 0.0000
Br1 Br 0.0000 0.0000 0.5000


# SmTeBr, relaxed, DFT PBE
# - Electronic total energy: -4.6811 eV/atom
# - Formation energy from raw total energies: -1503 meV/atom
# - D(E_F): 0.000 states/eV per atom
data_SmTeBr
_chemical_formula_sum 'Sm4 Te4 Br4'
_cell_length_a 5.7613
_cell_length_b 6.1209
_cell_length_c 13.6837
_cell_angle_alpha 90.00
_cell_angle_beta 90.00
_cell_angle_gamma 90.00
_space_group_name_H-M_alt 'I m m a'
_space_group_IT_number 74
_space_group_name_Hall '-I 2b 2'
loop_
_atom_site_label
_atom_site_type_symbol
_atom_site_fract_x
_atom_site_fract_y
_atom_site_fract_z
Sm1 Sm 0.0000 0.2500 0.1111
Te1 Te 0.0000 0.2500 0.8915
Br1 Br 0.0000 0.2500 0.3369


# Sm5Te4Br, relaxed, DFT PBE
# - Electronic total energy: -5.0733 eV/atom
# - Formation energy from raw total energies: -1290 meV/atom
# - D(E_F): 0.544 states/eV per atom
# - Polymorph energy (0 for the lowest one): 0.000 eV per atom
data_Sm5Te4Br
_chemical_formula_sum 'Sm15 Te12 Br3'
_cell_length_a 4.4651
_cell_length_b 4.4651
_cell_length_c 52.3959
_cell_angle_alpha 90.00
_cell_angle_beta 90.00
_cell_angle_gamma 120.00
_space_group_name_H-M_alt 'R -3 m'
_space_group_IT_number 166
_space_group_name_Hall '-R 3 2"'
loop_
_atom_site_label
_atom_site_type_symbol
_atom_site_fract_x
_atom_site_fract_y
_atom_site_fract_z
Sm1 Sm 0.0000 0.0000 0.0000
Sm2 Sm 0.0000 0.0000 0.1972
Sm3 Sm 0.0000 0.0000 0.4020
Te1 Te 0.0000 0.0000 0.1029
Te2 Te 0.0000 0.0000 0.2991
Br1 Br 0.0000 0.0000 0.5000


# SmTeBr, relaxed, DFT PBE
# - Electronic total energy: -4.7552 eV/atom
# - Formation energy from raw total energies: -1577 meV/atom
# - D(E_F): 0.005 states/eV per atom
data_SmTeBr
_chemical_formula_sum 'Sm4 Te4 Br4'
_cell_length_a 4.2448
_cell_length_b 4.2448
_cell_length_c 23.6693
_cell_angle_alpha 90.00
_cell_angle_beta 90.00
_cell_angle_gamma 90.00
_space_group_name_H-M_alt 'I -4 m 2'
_space_group_IT_number 119
_space_group_name_Hall 'I -4 -2'
loop_
_atom_site_label
_atom_site_type_symbol
_atom_site_fract_x
_atom_site_fract_y
_atom_site_fract_z
Sm1 Sm 0.0000 0.0000 0.1568
Te1 Te 0.0000 0.0000 0.2967
Br1 Br 0.0000 0.5000 0.0707


# Sm7TeBr12, relaxed, DFT PBE
# - Electronic total energy: -4.4261 eV/atom
# - Formation energy from raw total energies: -1614 meV/atom
# - D(E_F): 0.233 states/eV per atom
data_Sm7TeBr12
_chemical_formula_sum 'Sm21 Te3 Br36'
_cell_length_a 15.2547
_cell_length_b 15.2547
_cell_length_c 10.0053
_cell_angle_alpha 90.00
_cell_angle_beta 90.00
_cell_angle_gamma 120.00
_space_group_name_H-M_alt 'R -3'
_space_group_IT_number 148
_space_group_name_Hall '-R 3'
loop_
_atom_site_label
_atom_site_type_symbol
_atom_site_fract_x
_atom_site_fract_y
_atom_site_fract_z
Sm1 Sm 0.0000 0.0000 0.0000
Sm2 Sm 0.0470 0.8766 0.3297
Te1 Te 0.0000 0.0000 0.5000
Br1 Br 0.0274 0.4402 0.1631
Br2 Br 0.0504 0.8663 0.8454


# Sm5Te4Br, relaxed, DFT PBE
# - Electronic total energy: -5.0696 eV/atom
# - Formation energy from raw total energies: -1286 meV/atom
# - D(E_F): 0.492 states/eV per atom
# - Polymorph energy (0 for the lowest one): 0.004 eV per atom
data_Sm5Te4Br
_chemical_formula_sum 'Sm10 Te8 Br2'
_cell_length_a 4.3183
_cell_length_b 4.3183
_cell_length_c 33.1306
_cell_angle_alpha 90.00
_cell_angle_beta 90.00
_cell_angle_gamma 90.00
_space_group_name_H-M_alt 'I 4/m m m'
_space_group_IT_number 139
_space_group_name_Hall '-I 4 2'
loop_
_atom_site_label
_atom_site_type_symbol
_atom_site_fract_x
_atom_site_fract_y
_atom_site_fract_z
Sm1 Sm 0.0000 0.0000 0.0000
Sm2 Sm 0.0000 0.0000 0.1876
Sm3 Sm 0.0000 0.0000 0.3847
Te1 Te 0.0000 0.0000 0.0924
Te2 Te 0.0000 0.0000 0.2900
Br1 Br 0.0000 0.0000 0.5000


# SmTeBr, relaxed, DFT PBE
# - Electronic total energy: -4.6558 eV/atom
# - Formation energy from raw total energies: -1478 meV/atom
# - D(E_F): 0.000 states/eV per atom
data_SmTeBr
_chemical_formula_sum 'Sm4 Te4 Br4'
_cell_length_a 7.3875
_cell_length_b 7.3875
_cell_length_c 7.3875
_cell_angle_alpha 90.00
_cell_angle_beta 90.00
_cell_angle_gamma 90.00
_space_group_name_H-M_alt 'F -4 3 m'
_space_group_IT_number 216
_space_group_name_Hall 'F -4 2 3'
loop_
_atom_site_label
_atom_site_type_symbol
_atom_site_fract_x
_atom_site_fract_y
_atom_site_fract_z
Sm1 Sm 0.0000 0.0000 0.0000
Te1 Te 0.2500 0.2500 0.2500
Br1 Br 0.2500 0.2500 0.7500


# Sm6Te5Br, relaxed, DFT PBE
# - Electronic total energy: -5.1220 eV/atom
# - Formation energy from raw total energies: -1314 meV/atom
# - D(E_F): 0.627 states/eV per atom
data_Sm6Te5Br
_chemical_formula_sum 'Sm12 Te10 Br2'
_cell_length_a 7.7062
_cell_length_b 13.2646
_cell_length_c 7.6552
_cell_angle_alpha 90.00
_cell_angle_beta 108.67
_cell_angle_gamma 90.00
_space_group_name_H-M_alt 'C 1 2/m 1'
_space_group_IT_number 12
_space_group_name_Hall '-C 2y'
loop_
_atom_site_label
_atom_site_type_symbol
_atom_site_fract_x
_atom_site_fract_y
_atom_site_fract_z
Sm1 Sm 0.2174 0.0000 0.2360
Sm2 Sm 0.2277 0.1762 0.7300
Te1 Te 0.0000 0.0000 0.5000
Te2 Te 0.0000 0.1766 0.0000
Te3 Te 0.0000 0.3499 0.5000
Br1 Br 0.0000 0.5000 0.0000


# Sm2TeBr, relaxed, DFT PBE
# - Electronic total energy: -4.7492 eV/atom
# - Formation energy from raw total energies: -1186 meV/atom
# - D(E_F): 0.948 states/eV per atom
# - Polymorph energy (0 for the lowest one): 0.000 eV per atom
data_Sm2TeBr
_chemical_formula_sum 'Sm6 Te3 Br3'
_cell_length_a 3.9843
_cell_length_b 3.9843
_cell_length_c 25.4265
_cell_angle_alpha 90.00
_cell_angle_beta 90.00
_cell_angle_gamma 120.00
_space_group_name_H-M_alt 'R 3 m'
_space_group_IT_number 160
_space_group_name_Hall 'R 3 -2"'
loop_
_atom_site_label
_atom_site_type_symbol
_atom_site_fract_x
_atom_site_fract_y
_atom_site_fract_z
Sm1 Sm 0.0000 0.0000 0.0000
Sm2 Sm 0.0000 0.0000 0.1638
Te1 Te 0.0000 0.0000 0.4153
Br1 Br 0.0000 0.0000 0.5814


# SmYTeBr, relaxed, DFT PBE
# - Electronic total energy: -5.1186 eV/atom
# - Formation energy from raw total energies: -1119 meV/atom
# - D(E_F): 0.804 states/eV per atom
data_SmYTeBr
_chemical_formula_sum 'Sm4 Y4 Te4 Br4'
_cell_length_a 7.4654
_cell_length_b 7.4654
_cell_length_c 7.4654
_cell_angle_alpha 90.00
_cell_angle_beta 90.00
_cell_angle_gamma 90.00
_space_group_name_H-M_alt 'F -4 3 m'
_space_group_IT_number 216
_space_group_name_Hall 'F -4 2 3'
loop_
_atom_site_label
_atom_site_type_symbol
_atom_site_fract_x
_atom_site_fract_y
_atom_site_fract_z
Sm1 Sm 0.0000 0.0000 0.0000
Y1 Y 0.0000 0.0000 0.5000
Te1 Te 0.2500 0.2500 0.7500
Br1 Br 0.2500 0.2500 0.2500


# SmThBr2, relaxed, DFT PBE
# - Electronic total energy: -4.7946 eV/atom
# - Formation energy from raw total energies: -923 meV/atom
# - D(E_F): 1.022 states/eV per atom
data_SmThBr2
_chemical_formula_sum 'Sm3 Th3 Br6'
_cell_length_a 3.6188
_cell_length_b 3.6188
_cell_length_c 31.3219
_cell_angle_alpha 90.00
_cell_angle_beta 90.00
_cell_angle_gamma 120.00
_space_group_name_H-M_alt 'R -3 m'
_space_group_IT_number 166
_space_group_name_Hall '-R 3 2"'
loop_
_atom_site_label
_atom_site_type_symbol
_atom_site_fract_x
_atom_site_fract_y
_atom_site_fract_z
Sm1 Sm 0.0000 0.0000 0.0000
Th1 Th 0.0000 0.0000 0.5000
Br1 Br 0.0000 0.0000 0.4022


# SmTl3Br7, relaxed, DFT PBE
# - Electronic total energy: -3.2383 eV/atom
# - Formation energy from raw total energies: -1099 meV/atom
# - D(E_F): 0.330 states/eV per atom
data_SmTl3Br7
_chemical_formula_sum 'Sm2 Tl6 Br14'
_cell_length_a 11.9340
_cell_length_b 10.9214
_cell_length_c 8.6063
_cell_angle_alpha 90.00
_cell_angle_beta 131.19
_cell_angle_gamma 90.00
_space_group_name_H-M_alt 'C 1 m 1'
_space_group_IT_number 8
_space_group_name_Hall 'C -2y'
loop_
_atom_site_label
_atom_site_type_symbol
_atom_site_fract_x
_atom_site_fract_y
_atom_site_fract_z
Sm1 Sm 0.0000 0.0000 0.0000
Tl1 Tl 0.0634 0.2194 0.5656
Tl2 Tl 0.0721 0.5000 0.1423
Br1 Br 0.1904 0.5000 0.6169
Br2 Br 0.2000 0.0000 0.9178
Br3 Br 0.2005 0.1871 0.3240
Br4 Br 0.3717 0.5000 0.1911
Br5 Br 0.4450 0.2435 0.8372